1.
The following is a DFT calculation (PBE-GGA) of a relaxed Ca2AcTl2Hg2 crystal.

Values from the calculation:
Its space group is R-3m (166). The total magnetic moment comes out at 0.0 μB/f.u. As for the formation energy: -322 meV per atom. As for the crystal system: trigonal.

```
data_Ca2AcTl2Hg2
_chemical_formula_sum 'Ca2 Ac1 Tl2 Hg2'
_symmetry_space_group_name_H-M 'P 1'
_symmetry_Int_Tables_number 1
_symmetry_space_group_name_Hall 'P 1'
_cell_length_a 9.774
_cell_length_b 9.774
_cell_length_c 9.774
_cell_angle_alpha 30.25
_cell_angle_beta 30.25
_cell_angle_gamma 30.25
loop_
_atom_site_label
_atom_site_type_symbol
_atom_site_fract_x
_atom_site_fract_y
_atom_site_fract_z
Ca1 Ca 0.135 0.135 0.135
Ca2 Ca 0.865 0.865 0.865
Ac1 Ac 0.000 0.000 0.000
Tl1 Tl 0.264 0.264 0.264
Tl2 Tl 0.736 0.736 0.736
Hg1 Hg 0.434 0.434 0.434
Hg2 Hg 0.566 0.566 0.566
```

2.
The following is a DFT calculation (PBE-GGA) of a relaxed Nd4Te2SN2 crystal.

Values from the calculation:
Its space group is C2/m (12). The total magnetic moment comes out at 0.0 μB/f.u. Its uncorrected formation energy is -1.6075 eV per atom. As for the crystal system: monoclinic.

```
data_Nd4Te2SN2
_chemical_formula_sum 'Nd4 Te2 S1 N2'
_symmetry_space_group_name_H-M 'P 1'
_symmetry_Int_Tables_number 1
_symmetry_space_group_name_Hall 'P 1'
_cell_length_a 8.109
_cell_length_b 8.109
_cell_length_c 7.546
_cell_angle_alpha 107.69
_cell_angle_beta 107.69
_cell_angle_gamma 29.45
loop_
_atom_site_label
_atom_site_type_symbol
_atom_site_fract_x
_atom_site_fract_y
_atom_site_fract_z
Nd1 Nd 0.039 0.039 0.269
Nd2 Nd 0.290 0.290 0.347
Nd3 Nd 0.710 0.710 0.653
Nd4 Nd 0.961 0.961 0.731
Te1 Te 0.369 0.369 0.964
Te2 Te 0.631 0.631 0.036
S1 S 0.500 0.500 0.500
N1 N 0.174 0.174 0.484
N2 N 0.826 0.826 0.516
```